No. 1
{"formula": "LaNpPa2N6", "functional": "GGA-PBE", "state": "optimized geometry", "vol_a3_per_cell": 158.1, "spacegroup": "No. 146", "energy_ev_per_atom": -10.085, "e_form_raw_ev_per_atom": -1.404, "lattice_angstrom": [[-4.527, -3.934, 0.766], [-2.223, -3.014, -4.747], [1.059, -5.974, -0.554]], "species": ["N", "N", "N", "N", "N", "N", "Np", "Pa", "Pa", "La"], "fractional_positions": [[0.236, 0.918, 0.221], [0.918, 0.624, 0.221], [0.624, 0.236, 0.221], [0.374, 0.703, 0.754], [0.703, 0.169, 0.754], [0.169, 0.374, 0.754], [0.310, 0.310, 0.069], [0.527, 0.527, 0.420], [0.018, 0.018, 0.946], [0.782, 0.782, 0.655]]}

No. 2
{"formula": "La4NpPa3N8", "functional": "GGA-PBE", "state": "optimized geometry", "vol_a3_per_cell": 265.3, "spacegroup": "No. 166", "energy_ev_per_atom": -9.470, "e_form_raw_ev_per_atom": -1.486, "lattice_angstrom": [[7.178, 0.000, 0.000], [0.000, 7.248, 0.043], [-3.589, -3.585, 5.079]], "species": ["Pa", "Pa", "Pa", "N", "N", "N", "N", "N", "N", "N", "N", "Np", "La", "La", "La", "La"], "fractional_positions": [[0.500, 0.500, 0.000], [0.000, 0.500, 0.500], [0.500, 0.500, 0.500], [0.731, 0.702, 0.966], [0.734, 0.701, 0.467], [0.266, 0.299, 0.533], [0.764, 0.298, 0.529], [0.236, 0.702, 0.471], [0.235, 0.702, 0.966], [0.269, 0.298, 0.034], [0.765, 0.298, 0.034], [0.000, 0.500, 0.000], [0.500, 0.000, 0.000], [0.000, 0.000, 0.500], [0.500, 0.000, 0.500], [0.000, 0.000, 0.000]]}

No. 3
{"formula": "La2NpPaN6", "functional": "GGA-PBE", "state": "optimized geometry", "vol_a3_per_cell": 308.1, "spacegroup": "No. 14", "energy_ev_per_atom": -9.601, "e_form_raw_ev_per_atom": -1.377, "lattice_angstrom": [[5.985, 0.000, -0.029], [0.000, 6.049, 0.000], [0.010, 0.000, 8.511]], "species": ["La", "La", "La", "La", "Np", "Np", "N", "N", "N", "N", "N", "N", "N", "N", "N", "N", "N", "N", "Pa", "Pa"], "fractional_positions": [[0.491, 0.463, 0.250], [0.009, 0.963, 0.250], [0.509, 0.537, 0.750], [0.991, 0.037, 0.750], [0.000, 0.500, 0.000], [0.500, 0.000, 0.500], [0.276, 0.695, 0.049], [0.776, 0.805, 0.549], [0.902, 0.531, 0.240], [0.724, 0.305, 0.951], [0.098, 0.469, 0.760], [0.402, 0.969, 0.740], [0.706, 0.288, 0.555], [0.598, 0.031, 0.260], [0.794, 0.788, 0.945], [0.224, 0.195, 0.451], [0.294, 0.712, 0.445], [0.206, 0.212, 0.055], [0.500, 0.000, 0.000], [0.000, 0.500, 0.500]]}

No. 4
{"formula": "La3NpPa2N6", "functional": "GGA-PBE", "state": "optimized geometry", "vol_a3_per_cell": 198.6, "spacegroup": "No. 12", "energy_ev_per_atom": -9.508, "e_form_raw_ev_per_atom": -1.453, "lattice_angstrom": [[-2.547, -3.139, -4.715], [2.653, -3.071, 4.701], [-5.240, 1.976, 2.880]], "species": ["N", "N", "N", "N", "N", "N", "Pa", "Pa", "La", "La", "La", "Np"], "fractional_positions": [[0.731, 0.731, 0.204], [0.269, 0.269, 0.796], [0.404, 0.068, 0.203], [0.596, 0.932, 0.797], [0.932, 0.596, 0.797], [0.068, 0.404, 0.203], [0.667, 0.333, 0.000], [0.333, 0.667, 0.000], [0.500, 0.500, 0.500], [0.834, 0.166, 0.500], [0.166, 0.834, 0.500], [0.000, 0.000, 0.000]]}

No. 5
{"formula": "LaNpPaN3", "functional": "GGA-PBE", "state": "optimized geometry", "vol_a3_per_cell": 193.7, "spacegroup": "No. 11", "energy_ev_per_atom": -10.000, "e_form_raw_ev_per_atom": -1.277, "lattice_angstrom": [[-1.015, 0.898, -3.263], [5.150, -2.382, -2.257], [-5.629, -7.228, -0.239]], "species": ["La", "La", "N", "N", "N", "N", "N", "N", "Pa", "Pa", "Np", "Np"], "fractional_positions": [[0.750, 0.654, 0.693], [0.250, 0.346, 0.307], [0.750, 0.227, 0.504], [0.250, 0.457, 0.858], [0.750, 0.543, 0.142], [0.750, 0.040, 0.141], [0.250, 0.773, 0.496], [0.250, 0.960, 0.859], [0.250, 0.764, 0.051], [0.750, 0.236, 0.949], [0.250, 0.142, 0.646], [0.750, 0.858, 0.354]]}

No. 6
{"formula": "La2NpPaN5", "functional": "GGA-PBE", "state": "optimized geometry", "vol_a3_per_cell": 151.1, "spacegroup": "No. 123", "energy_ev_per_atom": -9.442, "e_form_raw_ev_per_atom": -1.229, "lattice_angstrom": [[4.108, 0.000, 0.000], [0.000, 4.108, 0.000], [0.000, 0.000, 8.953]], "species": ["Pa", "N", "N", "N", "N", "N", "Np", "La", "La"], "fractional_positions": [[0.000, 0.000, 0.000], [0.000, 0.000, 0.769], [0.500, 0.500, 0.000], [0.500, 0.000, 0.500], [0.000, 0.000, 0.231], [0.000, 0.500, 0.500], [0.000, 0.000, 0.500], [0.500, 0.500, 0.728], [0.500, 0.500, 0.272]]}

No. 7
{"formula": "La2PmNpN4", "functional": "GGA-PBE", "state": "optimized geometry", "vol_a3_per_cell": 133.6, "spacegroup": "No. 10", "energy_ev_per_atom": -8.918, "e_form_raw_ev_per_atom": -1.312, "lattice_angstrom": [[-3.118, -1.547, 0.947], [2.038, -0.536, 5.836], [-2.942, 5.542, -0.630]], "species": ["N", "N", "N", "N", "Pm", "Np", "La", "La"], "fractional_positions": [[0.000, 0.228, 0.784], [0.500, 0.224, 0.218], [0.000, 0.772, 0.216], [0.500, 0.776, 0.782], [0.500, 0.500, 0.000], [0.000, 0.000, 0.000], [0.500, 0.000, 0.500], [0.000, 0.500, 0.500]]}

No. 8
{"formula": "LaPmNpN4", "functional": "GGA-PBE", "state": "optimized geometry", "vol_a3_per_cell": 112.6, "spacegroup": "No. 107", "energy_ev_per_atom": -9.203, "e_form_raw_ev_per_atom": -1.214, "lattice_angstrom": [[-3.069, 2.338, -1.659], [-2.742, -1.684, 2.699], [4.179, 4.319, 3.671]], "species": ["Pm", "N", "N", "N", "N", "La", "Np"], "fractional_positions": [[0.355, 0.355, 0.710], [0.495, 0.995, 0.989], [0.173, 0.173, 0.345], [0.995, 0.495, 0.989], [0.831, 0.831, 0.661], [0.652, 0.652, 0.304], [0.000, 0.000, 0.001]]}

No. 9
{"formula": "La2Pm3NpN6", "functional": "GGA-PBE", "state": "optimized geometry", "vol_a3_per_cell": 200.6, "spacegroup": "No. 12", "energy_ev_per_atom": -8.608, "e_form_raw_ev_per_atom": -1.358, "lattice_angstrom": [[6.285, -0.002, -0.001], [-3.142, 5.443, -0.001], [-1.049, -1.816, 5.865]], "species": ["Pm", "Pm", "Pm", "La", "La", "Np", "N", "N", "N", "N", "N", "N"], "fractional_positions": [[0.836, 0.164, 0.500], [0.164, 0.836, 0.500], [0.500, 0.500, 0.500], [0.334, 0.666, 0.000], [0.666, 0.334, 0.000], [0.000, 0.000, 0.000], [0.922, 0.626, 0.766], [0.223, 0.223, 0.759], [0.626, 0.922, 0.766], [0.078, 0.374, 0.234], [0.777, 0.777, 0.241], [0.374, 0.078, 0.234]]}

No. 10
{"formula": "La3Pm4NpN8", "functional": "GGA-PBE", "state": "optimized geometry", "vol_a3_per_cell": 271.6, "spacegroup": "No. 166", "energy_ev_per_atom": -8.422, "e_form_raw_ev_per_atom": -1.339, "lattice_angstrom": [[7.280, 0.000, 0.000], [0.000, 7.259, -0.019], [-3.640, -3.637, 5.150]], "species": ["N", "N", "N", "N", "N", "N", "N", "N", "La", "La", "La", "Pm", "Pm", "Pm", "Pm", "Np"], "fractional_positions": [[0.232, 0.738, 0.006], [0.768, 0.262, 0.535], [0.227, 0.262, 0.994], [0.752, 0.756, 0.504], [0.232, 0.738, 0.465], [0.773, 0.738, 0.006], [0.768, 0.262, 0.994], [0.248, 0.244, 0.496], [0.500, 0.500, 0.500], [0.500, 0.500, 0.000], [0.000, 0.500, 0.500], [0.000, 0.000, 0.500], [0.000, 0.000, 0.000], [0.500, 0.000, 0.000], [0.500, 0.000, 0.500], [0.000, 0.500, 0.000]]}

No. 11
{"formula": "La2PrNpN4", "functional": "GGA-PBE", "state": "optimized geometry", "vol_a3_per_cell": 277.4, "spacegroup": "No. 63", "energy_ev_per_atom": -8.657, "e_form_raw_ev_per_atom": -1.047, "lattice_angstrom": [[-1.177, -3.021, 1.392], [6.605, 0.503, 2.206], [-3.597, 5.757, 9.456]], "species": ["Pr", "Pr", "N", "N", "N", "N", "N", "N", "N", "N", "La", "La", "La", "La", "Np", "Np"], "fractional_positions": [[0.230, 0.460, 0.750], [0.770, 0.540, 0.250], [0.199, 0.397, 0.378], [0.564, 0.128, 0.750], [0.801, 0.603, 0.622], [0.436, 0.872, 0.250], [0.199, 0.397, 0.122], [0.801, 0.603, 0.878], [0.000, 0.000, 0.500], [0.000, 0.000, 0.000], [0.627, 0.253, 0.985], [0.373, 0.747, 0.485], [0.627, 0.253, 0.515], [0.373, 0.747, 0.015], [0.958, 0.916, 0.750], [0.042, 0.084, 0.250]]}

No. 12
{"formula": "La4Pr3NpN8", "functional": "GGA-PBE", "state": "optimized geometry", "vol_a3_per_cell": 280.5, "spacegroup": "No. 166", "energy_ev_per_atom": -8.384, "e_form_raw_ev_per_atom": -1.284, "lattice_angstrom": [[7.333, 0.000, 0.000], [0.000, 7.363, 0.016], [-3.667, -3.663, 5.188]], "species": ["N", "N", "N", "N", "N", "N", "N", "N", "La", "La", "La", "La", "Pr", "Pr", "Pr", "Np"], "fractional_positions": [[0.750, 0.749, 0.500], [0.774, 0.276, 0.548], [0.226, 0.724, 0.998], [0.772, 0.724, 0.998], [0.226, 0.724, 0.452], [0.250, 0.251, 0.500], [0.774, 0.276, 0.002], [0.228, 0.276, 0.002], [0.000, 0.000, 0.000], [0.500, 0.000, 0.000], [0.000, 0.000, 0.500], [0.500, 0.000, 0.500], [0.500, 0.500, 0.500], [0.500, 0.500, 0.000], [0.000, 0.500, 0.500], [0.000, 0.500, 0.000]]}

No. 13
{"formula": "La2Pr3NpN6", "functional": "GGA-PBE", "state": "optimized geometry", "vol_a3_per_cell": 205.9, "spacegroup": "No. 12", "energy_ev_per_atom": -8.559, "e_form_raw_ev_per_atom": -1.302, "lattice_angstrom": [[-2.356, -5.456, -2.186], [4.147, -0.037, 4.786], [-5.064, 2.206, 3.008]], "species": ["N", "N", "N", "N", "N", "N", "Pr", "Pr", "Pr", "La", "La", "Np"], "fractional_positions": [[0.634, 0.926, 0.777], [0.366, 0.074, 0.223], [0.926, 0.634, 0.777], [0.222, 0.222, 0.766], [0.778, 0.778, 0.234], [0.074, 0.366, 0.223], [0.164, 0.836, 0.500], [0.500, 0.500, 0.500], [0.836, 0.164, 0.500], [0.666, 0.334, 0.000], [0.334, 0.666, 0.000], [0.000, 0.000, 0.000]]}

No. 14
{"formula": "LaPrNpN3", "functional": "GGA-PBE", "state": "optimized geometry", "vol_a3_per_cell": 241.5, "spacegroup": "No. 11", "energy_ev_per_atom": -8.904, "e_form_raw_ev_per_atom": -0.967, "lattice_angstrom": [[3.728, 0.000, 0.000], [0.000, 7.538, 1.034], [0.000, -1.878, 8.337]], "species": ["N", "N", "N", "N", "N", "N", "La", "La", "Np", "Np", "Pr", "Pr"], "fractional_positions": [[0.250, 0.620, 0.888], [0.750, 0.380, 0.112], [0.750, 0.905, 0.158], [0.250, 0.792, 0.430], [0.250, 0.095, 0.842], [0.750, 0.208, 0.570], [0.250, 0.615, 0.168], [0.750, 0.385, 0.832], [0.250, 0.056, 0.586], [0.750, 0.944, 0.414], [0.250, 0.156, 0.130], [0.750, 0.844, 0.870]]}

No. 15
{"formula": "La3Pr4NpN8", "functional": "GGA-PBE", "state": "optimized geometry", "vol_a3_per_cell": 279.5, "spacegroup": "No. 166", "energy_ev_per_atom": -8.368, "e_form_raw_ev_per_atom": -1.278, "lattice_angstrom": [[7.349, 0.000, 0.000], [0.000, 7.329, -0.019], [-3.674, -3.671, 5.199]], "species": ["La", "La", "La", "N", "N", "N", "N", "N", "N", "N", "N", "Np", "Pr", "Pr", "Pr", "Pr"], "fractional_positions": [[0.000, 0.500, 0.500], [0.500, 0.500, 0.500], [0.500, 0.500, 0.000], [0.227, 0.728, 0.454], [0.227, 0.728, 0.002], [0.250, 0.249, 0.500], [0.750, 0.751, 0.500], [0.775, 0.728, 0.002], [0.773, 0.272, 0.546], [0.773, 0.272, 0.998], [0.225, 0.272, 0.998], [0.000, 0.500, 0.000], [0.500, 0.000, 0.000], [0.000, 0.000, 0.000], [0.500, 0.000, 0.500], [0.000, 0.000, 0.500]]}

No. 16
{"formula": "LaPrNpN4", "functional": "GGA-PBE", "state": "optimized geometry", "vol_a3_per_cell": 114.1, "spacegroup": "No. 107", "energy_ev_per_atom": -9.201, "e_form_raw_ev_per_atom": -1.209, "lattice_angstrom": [[-1.956, 3.234, 1.860], [-3.708, -1.919, -0.563], [3.465, -3.556, 5.057]], "species": ["N", "N", "N", "N", "Np", "Pr", "La"], "fractional_positions": [[0.997, 0.497, 0.994], [0.830, 0.830, 0.661], [0.170, 0.170, 0.340], [0.497, 0.997, 0.994], [0.000, 0.000, 0.001], [0.354, 0.354, 0.709], [0.651, 0.651, 0.301]]}

No. 17
{"formula": "LaPr2NpN4", "functional": "GGA-PBE", "state": "optimized geometry", "vol_a3_per_cell": 274.4, "spacegroup": "No. 63", "energy_ev_per_atom": -8.623, "e_form_raw_ev_per_atom": -1.032, "lattice_angstrom": [[3.561, 0.000, 0.000], [-1.780, 6.727, 0.000], [0.000, 0.000, 11.454]], "species": ["Np", "Np", "N", "N", "N", "N", "N", "N", "N", "N", "La", "La", "Pr", "Pr", "Pr", "Pr"], "fractional_positions": [[0.040, 0.080, 0.250], [0.960, 0.920, 0.750], [0.436, 0.873, 0.250], [0.801, 0.601, 0.620], [0.199, 0.399, 0.120], [0.000, 0.000, 0.500], [0.801, 0.601, 0.880], [0.564, 0.127, 0.750], [0.199, 0.399, 0.380], [0.000, 0.000, 0.000], [0.233, 0.466, 0.750], [0.767, 0.534, 0.250], [0.626, 0.252, 0.983], [0.374, 0.748, 0.017], [0.374, 0.748, 0.483], [0.626, 0.252, 0.517]]}

No. 18
{"formula": "La2PuNpN4", "functional": "GGA-PBE", "state": "optimized geometry", "vol_a3_per_cell": 129.9, "spacegroup": "No. 10", "energy_ev_per_atom": -10.072, "e_form_raw_ev_per_atom": -1.268, "lattice_angstrom": [[-0.707, -0.413, 3.468], [-5.523, -2.349, -1.406], [4.178, -4.646, 0.298]], "species": ["La", "La", "N", "N", "N", "N", "Np", "Pu"], "fractional_positions": [[0.500, 0.000, 0.500], [0.000, 0.500, 0.500], [0.000, 0.271, 0.792], [0.500, 0.754, 0.792], [0.500, 0.246, 0.208], [0.000, 0.729, 0.208], [0.500, 0.500, 0.000], [0.000, 0.000, 0.000]]}

No. 19
{"formula": "LaPuNpN3", "functional": "GGA-PBE", "state": "optimized geometry", "vol_a3_per_cell": 214.8, "spacegroup": "No. 11", "energy_ev_per_atom": -10.601, "e_form_raw_ev_per_atom": -1.072, "lattice_angstrom": [[3.484, 0.000, 0.000], [0.000, 6.978, 1.064], [0.000, -1.424, 8.616]], "species": ["N", "N", "N", "N", "N", "N", "Pu", "Pu", "Np", "Np", "La", "La"], "fractional_positions": [[0.750, 0.846, 0.134], [0.750, 0.123, 0.417], [0.250, 0.598, 0.898], [0.250, 0.877, 0.583], [0.750, 0.402, 0.102], [0.250, 0.154, 0.866], [0.750, 0.804, 0.432], [0.250, 0.196, 0.568], [0.750, 0.375, 0.859], [0.250, 0.625, 0.141], [0.250, 0.129, 0.169], [0.750, 0.871, 0.831]]}

No. 20
{"formula": "La3Pu2NpN6", "functional": "GGA-PBE", "state": "optimized geometry", "vol_a3_per_cell": 195.5, "spacegroup": "No. 12", "energy_ev_per_atom": -10.140, "e_form_raw_ev_per_atom": -1.279, "lattice_angstrom": [[-5.660, -1.172, 2.182], [4.965, -2.151, 2.981], [0.446, 6.063, 1.499]], "species": ["La", "La", "La", "N", "N", "N", "N", "N", "N", "Pu", "Pu", "Np"], "fractional_positions": [[0.500, 0.500, 0.500], [0.832, 0.168, 0.500], [0.168, 0.832, 0.500], [0.750, 0.750, 0.212], [0.250, 0.250, 0.788], [0.930, 0.610, 0.791], [0.610, 0.930, 0.791], [0.070, 0.390, 0.209], [0.390, 0.070, 0.209], [0.666, 0.334, 0.000], [0.334, 0.666, 0.000], [0.000, 0.000, 0.000]]}